# Ac7Ge2Pb (PBE-GGA, relaxed)
data_Ac7Ge2Pb
_chemical_formula_sum 'Ac7 Ge2 Pb1'
_symmetry_space_group_name_H-M 'P 1'
_symmetry_Int_Tables_number 1
_symmetry_space_group_name_Hall 'P 1'
_cell_length_a 5.348
_cell_length_b 5.348
_cell_length_c 13.768
_cell_angle_alpha 101.20
_cell_angle_beta 101.20
_cell_angle_gamma 90.00
loop_
_atom_site_label
_atom_site_fract_x
_atom_site_fract_y
_atom_site_fract_z
Ac1 0.104 0.604 0.209
Ac2 0.396 0.896 0.791
Ac3 0.604 0.104 0.209
Ac4 0.500 0.500 0.000
Ac5 0.750 0.250 0.500
Ac6 0.896 0.396 0.791
Ac7 0.250 0.750 0.500
Ge1 0.679 0.679 0.357
Ge2 0.321 0.321 0.643
Pb1 0.000 0.000 0.000
# - E_tot: -4.4647 eV/atom
# - Formation energy from the elements: -2.94 eV per formula unit
# - DOS(E_F): 1.38 states/eV per atom

***

# Ac3GePb2 (PBE-GGA, relaxed)
data_Ac3GePb2
_chemical_formula_sum 'Ac12 Ge4 Pb8'
_symmetry_space_group_name_H-M 'P 1'
_symmetry_Int_Tables_number 1
_symmetry_space_group_name_Hall 'P 1'
_cell_length_a 4.783
_cell_length_b 13.168
_cell_length_c 13.656
_cell_angle_alpha 90.00
_cell_angle_beta 90.00
_cell_angle_gamma 90.00
loop_
_atom_site_label
_atom_site_fract_x
_atom_site_fract_y
_atom_site_fract_z
Ac1 0.250 0.379 0.055
Ac2 0.750 0.621 0.945
Ac3 0.750 0.879 0.445
Ac4 0.250 0.121 0.555
Ac5 0.250 0.708 0.234
Ac6 0.750 0.292 0.766
Ac7 0.750 0.208 0.266
Ac8 0.250 0.792 0.734
Ac9 0.250 0.452 0.385
Ac10 0.750 0.548 0.615
Ac11 0.750 0.952 0.115
Ac12 0.250 0.048 0.885
Ge1 0.250 0.129 0.124
Ge2 0.750 0.871 0.876
Ge3 0.750 0.629 0.376
Ge4 0.250 0.371 0.624
Pb1 0.250 0.701 0.502
Pb2 0.750 0.299 0.498
Pb3 0.750 0.201 0.998
Pb4 0.250 0.799 0.002
Pb5 0.250 0.997 0.309
Pb6 0.750 0.003 0.691
Pb7 0.750 0.497 0.191
Pb8 0.250 0.503 0.809
# - E_tot: -4.5824 eV/atom
# - Formation energy from the elements: -3.14 eV per formula unit
# - DOS(E_F): 0.93 states/eV per atom
# - Polymorph energy (0 for the lowest one): 0 meV per atom

***

# Ac4GePb3 (PBE-GGA, relaxed)
data_Ac4GePb3
_chemical_formula_sum 'Ac4 Ge1 Pb3'
_symmetry_space_group_name_H-M 'P 1'
_symmetry_Int_Tables_number 1
_symmetry_space_group_name_Hall 'P 1'
_cell_length_a 4.973
_cell_length_b 4.629
_cell_length_c 12.428
_cell_angle_alpha 90.00
_cell_angle_beta 90.00
_cell_angle_gamma 90.00
loop_
_atom_site_label
_atom_site_fract_x
_atom_site_fract_y
_atom_site_fract_z
Ac1 0.500 0.500 0.352
Ac2 0.000 0.500 0.870
Ac3 0.000 0.000 0.132
Ac4 0.500 0.000 0.637
Ge1 0.500 0.500 0.088
Pb1 0.000 0.500 0.590
Pb2 0.000 0.000 0.410
Pb3 0.500 0.000 0.920
# - E_tot: -4.5713 eV/atom
# - Formation energy from the elements: -4.39 eV per formula unit
# - DOS(E_F): 1.02 states/eV per atom